# 1
Density functional theory data (PBE) for a relaxed CeHfTcPt crystal.

```
data_CeHfTcPt
_cell_length_a 6.7933
_cell_length_b 6.7933
_cell_length_c 6.7933
_cell_angle_alpha 90.00
_cell_angle_beta 90.00
_cell_angle_gamma 90.00
_space_group_name_H-M_alt 'F -4 3 m'
_space_group_IT_number 216
_space_group_name_Hall 'F -4 2 3'
loop_
_atom_site_label
_atom_site_fract_x
_atom_site_fract_y
_atom_site_fract_z
Ce1 0.0000 0.0000 0.0000
Hf1 0.0000 0.0000 0.5000
Tc1 0.2500 0.2500 0.2500
Pt1 0.2500 0.2500 0.7500
```

Computed properties:
D(E_F) (states/eV/cell): 19.81
Formation enthalpy at 0 K (eV per formula unit): -2.05

---

# 2
Density functional theory data (PBE) for a relaxed CePuHf crystal.

```
data_CePuHf
_cell_length_a 3.2312
_cell_length_b 3.2312
_cell_length_c 14.0447
_cell_angle_alpha 90.00
_cell_angle_beta 90.00
_cell_angle_gamma 90.00
_space_group_name_H-M_alt 'I 4 m m'
_space_group_IT_number 107
_space_group_name_Hall 'I 4 -2'
loop_
_atom_site_label
_atom_site_fract_x
_atom_site_fract_y
_atom_site_fract_z
Ce1 0.0000 0.0000 0.0000
Pu1 0.0000 0.0000 0.6654
Hf1 0.0000 0.0000 0.3260
```

Computed properties:
D(E_F) (states/eV/cell): 13.86
Distance to the lowest polymorph of the same formula (eV/atom): 0.000
Formation enthalpy at 0 K (eV per formula unit): 0.42